# TcBiSbH2

TcBiSbH2 after structural relaxation (PBE, Alexandria via LeMat-Bulk).

The structure in extended XYZ format:
```
5
Lattice="3.8863 0.0000 0.0000 0.0000 3.8863 0.0000 0.0000 0.0000 5.6295" Properties=species:S:1:pos:R:3 pbc="T T T"
Tc 0.0000 0.0000 0.0000
Bi 1.9431 1.9431 0.0000
Sb 0.0000 0.0000 2.8147
H 0.0000 1.9431 2.8147
H 1.9431 0.0000 2.8147
```

Properties
- Size of the total moment: 0.885 μB per formula unit
- VASP energy: -4.472 eV/atom
- ρ: 8.41 g/cm3
- V: 17.0 Å³ per atom

# BiSb2TeH

BiSb2TeH after structural relaxation (PBE, Alexandria via LeMat-Bulk).

The structure in extended XYZ format:
```
5
Lattice="5.9236 0.0000 0.0000 0.0000 5.9236 0.0000 0.0000 0.0000 6.1112" Properties=species:S:1:pos:R:3 pbc="T T T"
Bi 0.0000 0.0000 0.0000
Sb 0.0000 2.9618 0.0000
Sb 2.9618 0.0000 0.0000
Te 0.0000 0.0000 3.0556
H 2.9618 2.9618 3.0556
```

Properties
- Size of the total moment: 2.045 μB per formula unit
- VASP energy: -2.515 eV/atom
- Distance to the lowest polymorph of the same formula: 805 meV/atom
- ρ: 4.50 g/cm3
- V: 42.9 Å³ per atom

# BiSb2TeH

BiSb2TeH after structural relaxation (PBE, Alexandria via LeMat-Bulk).

The structure in extended XYZ format:
```
5
Lattice="4.5796 0.0000 0.0000 0.0000 4.5796 0.0000 0.0000 0.0000 5.7482" Properties=species:S:1:pos:R:3 pbc="T T T"
Bi 0.0000 0.0000 0.0000
Sb 0.0000 2.2898 2.8741
Sb 2.2898 0.0000 2.8741
Te 2.2898 2.2898 0.0000
H 2.2898 2.2898 2.8741
```

Properties
- Size of the total moment: 0.000 μB per formula unit
- VASP energy: -3.320 eV/atom
- Distance to the lowest polymorph of the same formula: 0 meV/atom
- ρ: 8.00 g/cm3
- V: 24.1 Å³ per atom

# Ti7Bi2SbH2

Ti7Bi2SbH2 after structural relaxation (PBE, Alexandria via LeMat-Bulk).

The structure in extended XYZ format:
```
12
Lattice="2.9302 -2.9297 0.0000 2.9302 2.9297 0.0000 -2.8507 0.0000 11.3384" Properties=species:S:1:pos:R:3 pbc="T T T"
Ti 0.0000 0.0000 0.0000
Ti 1.4654 1.4660 2.0616
Ti -0.0067 0.0000 4.2616
Ti 1.5443 1.4660 9.2768
Ti 1.4654 -1.4660 2.0616
Ti 3.0164 0.0000 7.0768
Ti 1.5443 -1.4660 9.2768
Bi 0.0816 0.0000 7.1500
Bi 2.9280 0.0000 4.1884
Sb 2.9302 0.0000 0.0000
H 0.0009 0.0000 2.0888
H 3.0087 0.0000 9.2495
```

Properties
- Size of the total moment: 0.000 μB per formula unit
- VASP energy: -6.495 eV/atom
- ρ: 7.48 g/cm3
- V: 16.2 Å³ per atom

# U2BiSbH2

U2BiSbH2 after structural relaxation (PBE, Alexandria via LeMat-Bulk).

The structure in extended XYZ format:
```
6
Lattice="4.5886 0.0000 0.0000 -2.2943 3.9739 0.0000 0.0000 0.0000 6.7326" Properties=species:S:1:pos:R:3 pbc="T T T"
U 0.0000 2.6493 1.3812
U 2.2943 1.3246 5.3514
Bi 0.0000 0.0000 3.3663
Sb 0.0000 0.0000 0.0000
H 0.0000 2.6493 5.7642
H 2.2943 1.3246 0.9684
```

Properties
- Size of the total moment: 4.543 μB per formula unit
- VASP energy: -6.170 eV/atom
- ρ: 10.94 g/cm3
- V: 20.5 Å³ per atom

# BiSbHW2

BiSbHW2 after structural relaxation (PBE, Alexandria via LeMat-Bulk).

The structure in extended XYZ format:
```
5
Lattice="4.2568 0.0000 0.0000 0.0000 4.2568 0.0000 0.0000 0.0000 4.8181" Properties=species:S:1:pos:R:3 pbc="T T T"
Bi 0.0000 0.0000 0.0000
Sb 2.1284 2.1284 0.0000
H 0.0000 0.0000 2.4090
W 0.0000 2.1284 2.4090
W 2.1284 0.0000 2.4090
```

Properties
- Size of the total moment: 0.000 μB per formula unit
- VASP energy: -6.275 eV/atom
- ρ: 13.30 g/cm3
- V: 17.5 Å³ per atom